Entry from Alexandria: a geometry-optimized ScTlAg2 structure (GGA-PBEsol).

- DFT formation energy: -0.159 eV/atom
- D(E_F): 0.45 states/eV per atom
- Theoretical density: 9.71 g/cm3
- SG: P4/mmm (123)

Cell lengths 3.568, 3.568, 6.247 Å; angles 90.00, 90.00, 90.00 degrees
Atoms (fractional coordinates):
Sc 0.000 0.000 0.000
Tl 0.000 0.000 0.500
Ag 0.500 0.500 0.228
Ag 0.500 0.500 0.772



Entry from Alexandria: a geometry-optimized PtBr2 structure (GGA-PBEsol).

- Theoretical density: 6.76 g/cm3
- SG: Fmmm (69)
- Uncorrected formation energy: -0.3 eV/f.u.

Cell lengths 7.505, 6.754, 4.141 Å; angles 83.40, 63.37, 33.23 degrees
Atoms (fractional coordinates):
Pt 0.000 0.000 0.000
Br 0.375 0.375 0.625
Br 0.625 0.625 0.375



Entry from Alexandria: a geometry-optimized Sc2AgPt structure (GGA-PBEsol).

- DFT formation energy: -0.770 eV/atom
- D(E_F): 0.62 states/eV per atom
- Theoretical density: 8.92 g/cm3
- SG: P4/mmm (123)

Cell lengths 3.291, 3.291, 6.748 Å; angles 90.00, 90.00, 90.00 degrees
Atoms (fractional coordinates):
Sc 0.000 0.000 0.236
Sc 0.000 0.000 0.764
Ag 0.500 0.500 0.500
Pt 0.500 0.500 0.000



Entry from Alexandria: a geometry-optimized NiMoPt structure (GGA-PBEsol).

- DFT formation energy: -0.199 eV/atom
- D(E_F): 1.06 states/eV per atom
- Theoretical density: 14.42 g/cm3
- SG: I4mm (107)
- Relative energy among the computed polymorphs: 73 meV/atom

Cell lengths 5.877, 5.877, 5.877 Å; angles 153.53, 153.53, 37.78 degrees
Atoms (fractional coordinates):
Ni 0.000 0.000 0.000
Mo 0.655 0.655 0.000
Pt 0.334 0.334 0.000